{"formula": "CsPtI4", "functional": "PBE-GGA", "state": "relaxed", "formation_energy_uncorrected_mev_per_atom": -508, "vol_a3_per_atom": 43.8, "dos_at_fermi_per_ev_cell": 2.2, "sg": "P2/m, No. 10", "total_energy_ev_per_atom": -2.69, "lattice_angstrom": [[7.091, 0.000, 0.000], [0.000, 4.318, 0.000], [-2.237, 0.000, 8.591]], "species": ["Cs", "Pt", "I", "I", "I", "I"], "fractional_positions": [[0.000, 0.000, 0.000], [0.500, 0.500, 0.500], [0.237, 0.000, 0.475], [0.457, 0.500, 0.186], [0.543, 0.500, 0.814], [0.763, 0.000, 0.525]]}

{"formula": "Cs5Pt2I", "functional": "PBE-GGA", "state": "relaxed", "formation_energy_uncorrected_mev_per_atom": -408, "vol_a3_per_atom": 46.7, "dos_at_fermi_per_ev_cell": 5.1, "sg": "I4/mcm, No. 140", "total_energy_ev_per_atom": -2.65, "lattice_angstrom": [[-4.655, 4.655, 8.618], [4.655, -4.655, 8.618], [4.655, 4.655, -8.618]], "species": ["Cs", "Cs", "Cs", "Cs", "Cs", "Cs", "Cs", "Cs", "Cs", "Cs", "Pt", "Pt", "Pt", "Pt", "I", "I"], "fractional_positions": [[0.000, 0.000, 0.000], [0.045, 0.545, 0.839], [0.206, 0.045, 0.500], [0.294, 0.794, 0.839], [0.455, 0.294, 0.500], [0.500, 0.500, 0.000], [0.545, 0.706, 0.500], [0.706, 0.206, 0.161], [0.794, 0.955, 0.500], [0.955, 0.455, 0.161], [0.111, 0.389, 0.500], [0.389, 0.889, 0.278], [0.611, 0.111, 0.722], [0.889, 0.611, 0.500], [0.250, 0.250, 0.000], [0.750, 0.750, 0.000]]}